A relaxed structure of MnCdBi2O6. Source: Alexandria, functional PBE with a Hubbard U.

## Properties
electronic total energy	-5.802	eV/atom
total magnetic moment	3.0	μB/f.u.
ρ	8.18	g/cm³

Unit cell a=5.773 b=5.774 c=5.839 alpha=60.36 beta=60.37 gamma=60.00
Element x y z (fractional)
Bi 0.533 0.533 0.402
Bi 0.027 0.027 0.920
O 0.649 0.132 0.775
O 0.132 0.444 0.775
O 0.179 0.999 0.245
O 0.577 0.179 0.245
O 0.999 0.577 0.245
O 0.444 0.649 0.775
Cd 0.802 0.802 0.594
Mn 0.320 0.320 0.041